## w
Material: HfVPt
Method: DFT, GGA-PBE
State: relaxed

Unit cell a=3.2708 b=3.2708 c=9.4518 alpha=90.00 beta=90.00 gamma=90.00
Space group I4mm (No. 107)
Inequivalent atoms, fractional coordinates:
Hf (0.0000, 0.0000, 0.0000)
V (0.0000, 0.0000, 0.3301)
Pt (0.0000, 0.0000, 0.6756)

Values from the calculation:
As for the density of states at the Fermi level: 6.31 states/eV per cell. For the mass density, the calculation gives 13.94 g/cm3.

---

## x
Material: HfVPt
Method: DFT, GGA-PBE
State: relaxed

Unit cell a=5.2171 b=8.2537 c=19.0072 alpha=90.00 beta=90.00 gamma=90.00
Space group Fddd (No. 70, origin choice 2)
Inequivalent atoms, fractional coordinates:
Hf (0.1250, 0.3114, 0.1250)
V (0.1250, 0.1250, 0.0008)
Pt (0.1250, 0.1250, 0.5520)

Values from the calculation:
As for the density of states at the Fermi level: 54.45 states/eV per cell. For the mass density, the calculation gives 13.78 g/cm3.

---

Which one is most stable, and which one is least stable? w is the most stable of them, while x is the least stable.

---

## w
Material: Hf2VPt2
Method: DFT, GGA-PBE
State: relaxed

Unit cell a=7.6347 b=7.6347 c=3.1981 alpha=90.00 beta=90.00 gamma=90.00
Space group P4/mbm (No. 127)
Inequivalent atoms, fractional coordinates:
Hf (0.1621, 0.3379, 0.0000)
V (0.0000, 0.0000, 0.0000)
Pt (0.1377, 0.6377, 0.5000)

Values from the calculation:
As for the density of states at the Fermi level: 5.76 states/eV per cell. For the mass density, the calculation gives 14.22 g/cm3.

---

## x
Material: Hf2VPt2
Method: DFT, GGA-PBE
State: relaxed

Unit cell a=7.4526 b=7.4526 c=3.3720 alpha=90.00 beta=90.00 gamma=90.00
Space group P4/mbm (No. 127)
Inequivalent atoms, fractional coordinates:
Hf (0.1691, 0.3309, 0.0000)
V (0.0000, 0.0000, 0.5000)
Pt (0.1331, 0.6331, 0.5000)

Values from the calculation:
As for the density of states at the Fermi level: 14.02 states/eV per cell. For the mass density, the calculation gives 14.15 g/cm3.

---

Which one is most stable, and which one is least stable? x is the most stable of them, while w is the least stable.